w.
The following is a DFT calculation (PBE) of an optimized crystal structure of Ba2NiHPd.

Cell and atoms, written as POSCAR:
```
Ba2NiHPd
1.0
5.5877 0.0000 0.0000
0.0000 5.5877 0.0000
0.0000 0.0000 3.7871
Ba Ni H Pd
2 1 1 1
Direct
0.0000 0.5000 0.0000
0.5000 0.0000 0.0000
0.0000 0.0000 0.5000
0.5000 0.5000 0.0000
0.5000 0.5000 0.5000
```

Calculated values
Crystal system ... tetragonal
Size of the total moment ... 0.0 Bohr magnetons per cell

***

x.
The following is a DFT calculation (PBE) of an optimized crystal structure of Ba2NiHPd.

Cell and atoms, written as POSCAR:
```
Ba2NiHPd
1.0
5.5795 0.0000 0.0000
0.0000 5.5795 0.0000
0.0000 0.0000 3.7022
Ba Ni H Pd
2 1 1 1
Direct
0.0000 0.5000 0.0000
0.5000 0.0000 0.0000
0.0000 0.0000 0.5000
0.0000 0.0000 0.0000
0.5000 0.5000 0.5000
```

Calculated values
Crystal system ... tetragonal
Size of the total moment ... 0.0 Bohr magnetons per cell

***

Which structure is most stable? x, by 3.9 kJ/mol of atoms over the runner-up.

***

w.
The following is a DFT calculation (PBE) of an optimized crystal structure of Ba2ZnNiH.

Cell and atoms, written as POSCAR:
```
Ba2ZnNiH
1.0
5.7231 0.0000 0.0000
0.0000 5.7231 0.0000
0.0000 0.0000 3.7309
Ba Zn Ni H
2 1 1 1
Direct
0.0000 0.5000 0.0000
0.5000 0.0000 0.0000
0.0000 0.0000 0.5000
0.5000 0.5000 0.5000
0.5000 0.5000 0.0000
```

Calculated values
Crystal system ... tetragonal
Size of the total moment ... 0.0 Bohr magnetons per cell

***

x.
The following is a DFT calculation (PBE) of an optimized crystal structure of Ba2ZnNiH.

Cell and atoms, written as POSCAR:
```
Ba2ZnNiH
1.0
6.0999 0.0000 0.0000
0.0000 6.0999 0.0000
0.0000 0.0000 3.7894
Ba Zn Ni H
2 1 1 1
Direct
0.0000 0.5000 0.0000
0.5000 0.0000 0.0000
0.0000 0.0000 0.0000
0.5000 0.5000 0.5000
0.0000 0.0000 0.5000
```

Calculated values
Crystal system ... tetragonal
Size of the total moment ... 0.0 Bohr magnetons per cell

***

Which structure is most stable? w, by 51.1 kJ/mol of atoms over the runner-up.

***

w.
The following is a DFT calculation (PBE) of an optimized crystal structure of BaH4O6.

Cell and atoms, written as POSCAR:
```
BaH4O6
1.0
5.2389 0.0000 0.0000
2.1939 5.5402 0.0000
1.3994 1.4928 8.7747
Ba H O
2 8 12
Direct
0.0000 0.0000 0.0000
0.3679 0.6777 0.5775
0.0315 0.2465 0.6512
0.4086 0.3819 0.1140
0.4678 0.1231 0.2185
0.5306 0.1348 0.7390
0.6684 0.3428 0.3144
0.7968 0.5302 0.8300
0.8539 0.5731 0.0670
0.8577 0.4829 0.3454
0.0077 0.7128 0.3569
0.0411 0.4987 0.0137
0.2351 0.2085 0.6044
0.3689 0.8976 0.2137
0.3840 0.0556 0.7385
0.5285 0.8086 0.0877
0.5429 0.2603 0.1816
0.6442 0.4464 0.8397
0.7472 0.2628 0.7343
0.7509 0.3778 0.3952
0.8527 0.7904 0.4802
0.9905 0.6371 0.8559
```

Calculated values
Crystal system ... triclinic
Size of the total moment ... 2.0 Bohr magnetons per cell

***

x.
The following is a DFT calculation (PBE) of an optimized crystal structure of BaH4O6.

Cell and atoms, written as POSCAR:
```
BaH4O6
1.0
4.2131 -4.4187 0.0000
4.2131 4.4187 0.0000
-0.4823 0.0000 6.4177
Ba H O
2 8 12
Direct
0.1954 0.8046 0.7500
0.8046 0.1954 0.2500
0.0144 0.6686 0.2349
0.2621 0.3531 0.0728
0.3314 0.9856 0.2651
0.3531 0.2621 0.5728
0.6469 0.7379 0.4272
0.6686 0.0144 0.7349
0.7379 0.6469 0.9272
0.9856 0.3314 0.7651
0.0458 0.2273 0.6414
0.0938 0.5291 0.0776
0.2255 0.3696 0.5680
0.2273 0.0458 0.1414
0.3696 0.2255 0.0680
0.4709 0.9062 0.4224
0.5291 0.0938 0.5776
0.6304 0.7745 0.9320
0.7727 0.9542 0.8586
0.7745 0.6304 0.4320
0.9062 0.4709 0.9224
0.9542 0.7727 0.3586
```

Calculated values
Crystal system ... monoclinic
Size of the total moment ... 0.0 Bohr magnetons per cell

***

y.
The following is a DFT calculation (PBE) of an optimized crystal structure of BaH4O6.

Cell and atoms, written as POSCAR:
```
BaH4O6
1.0
6.0119 -2.4003 0.0000
6.0119 2.4003 0.0000
-3.7951 0.0000 8.9663
Ba H O
2 8 12
Direct
0.0938 0.9062 0.7500
0.9062 0.0938 0.2500
0.2167 0.4157 0.1940
0.2847 0.3644 0.0329
0.3644 0.2847 0.5329
0.4157 0.2167 0.6940
0.5843 0.7833 0.3060
0.6356 0.7153 0.4671
0.7153 0.6356 0.9671
0.7833 0.5843 0.8060
0.0552 0.7242 0.4290
0.1745 0.4391 0.3705
0.2652 0.4742 0.1376
0.2758 0.9448 0.0710
0.4391 0.1745 0.8705
0.4742 0.2652 0.6376
0.5258 0.7348 0.3624
0.5609 0.8255 0.1295
0.7242 0.0552 0.9290
0.7348 0.5258 0.8624
0.8255 0.5609 0.6295
0.9448 0.2758 0.5710
```

Calculated values
Crystal system ... monoclinic
Size of the total moment ... 4.0 Bohr magnetons per cell

***

Which structure is most stable? y, by 7.2 kJ/mol of atoms over the runner-up.

***

w.
The following is a DFT calculation (PBE) of an optimized crystal structure of BaH4O6.

Cell and atoms, written as POSCAR:
```
BaH4O6
1.0
4.2345 -3.2106 0.0000
4.2345 3.2106 0.0000
-0.9943 0.0000 8.3112
Ba H O
2 8 12
Direct
0.2108 0.7892 0.7500
0.7892 0.2108 0.2500
0.1810 0.6387 0.3728
0.2720 0.3249 0.0439
0.3249 0.2720 0.5439
0.3613 0.8190 0.1272
0.6387 0.1810 0.8728
0.6751 0.7280 0.4561
0.7280 0.6751 0.9561
0.8190 0.3613 0.6272
0.0132 0.3319 0.6769
0.1607 0.1895 0.5389
0.1895 0.1607 0.0389
0.3319 0.0132 0.1769
0.3859 0.5431 0.0513
0.4569 0.6141 0.4487
0.5431 0.3859 0.5513
0.6141 0.4569 0.9487
0.6681 0.9868 0.8231
0.8105 0.8393 0.9611
0.8393 0.8105 0.4611
0.9868 0.6681 0.3231
```

Calculated values
Crystal system ... monoclinic
Size of the total moment ... 0.0 Bohr magnetons per cell

***

x.
The following is a DFT calculation (PBE) of an optimized crystal structure of BaH4O6.

Cell and atoms, written as POSCAR:
```
BaH4O6
1.0
6.2412 0.0000 0.0000
0.4251 6.7272 0.0000
1.6154 1.8113 6.8453
Ba H O
2 8 12
Direct
0.0000 0.0000 0.0000
0.3004 0.5913 0.5600
0.1966 0.5081 0.0376
0.2586 0.1230 0.4972
0.3989 0.6644 0.9380
0.5358 0.0297 0.7357
0.6077 0.7928 0.0448
0.8118 0.8153 0.5828
0.8232 0.4604 0.6634
0.8645 0.4696 0.8936
0.1422 0.2943 0.2004
0.2434 0.6410 0.9352
0.2454 0.3213 0.3338
0.2695 0.0110 0.6227
0.3097 0.8972 0.2261
0.3885 0.1238 0.7183
0.5271 0.8670 0.2254
0.6650 0.7301 0.9272
0.7270 0.9172 0.7648
0.7448 0.5502 0.5420
0.8764 0.7405 0.4762
0.9299 0.3804 0.8091
```

Calculated values
Crystal system ... triclinic
Size of the total moment ... 2.0 Bohr magnetons per cell

***

Which structure is most stable? x, by 1.3 kJ/mol of atoms over the runner-up.

***

w.
The following is a DFT calculation (PBE) of an optimized crystal structure of BaH4O6.

Cell and atoms, written as POSCAR:
```
BaH4O6
1.0
6.0076 0.0000 0.0000
-0.3787 6.1782 0.0000
-0.2950 -0.7145 6.7783
Ba H O
2 8 12
Direct
0.0000 0.0000 0.0000
0.2533 0.5850 0.4463
0.0052 0.4482 0.9058
0.1560 0.1369 0.5669
0.4604 0.7316 0.9774
0.4726 0.0603 0.2843
0.6506 0.8670 0.7061
0.7437 0.8323 0.3961
0.7491 0.5255 0.1707
0.8016 0.4379 0.6247
0.0426 0.5494 0.0497
0.1689 0.0079 0.3726
0.1796 0.2456 0.6974
0.3381 0.1506 0.2837
0.3823 0.7859 0.8506
0.5504 0.9532 0.8008
0.5659 0.6738 0.1630
0.6698 0.8824 0.2653
0.6960 0.5374 0.5596
0.8291 0.7492 0.5800
0.8916 0.4327 0.1755
0.9506 0.3068 0.7458
```

Calculated values
Crystal system ... triclinic
Size of the total moment ... 0.1 Bohr magnetons per cell

***

x.
The following is a DFT calculation (PBE) of an optimized crystal structure of BaH4O6.

Cell and atoms, written as POSCAR:
```
BaH4O6
1.0
4.0381 -4.7530 0.0000
4.0381 4.7530 0.0000
-0.3854 0.0000 6.5620
Ba H O
2 8 12
Direct
0.0000 0.0000 0.0000
0.6382 0.3618 0.5000
0.1449 0.1372 0.5411
0.1528 0.5592 0.2924
0.3779 0.6114 0.7845
0.3886 0.6221 0.2155
0.4408 0.8472 0.7076
0.4654 0.2144 0.9321
0.7856 0.5346 0.0679
0.8628 0.8551 0.4589
0.0048 0.1549 0.4503
0.2888 0.5000 0.2658
0.3131 0.0785 0.6786
0.3564 0.2655 0.8302
0.4209 0.0080 0.1983
0.5000 0.7112 0.7342
0.5893 0.1239 0.1063
0.7345 0.6436 0.1698
0.8451 0.9952 0.5497
0.8761 0.4107 0.8937
0.9215 0.6869 0.3214
0.9920 0.5791 0.8017
```

Calculated values
Crystal system ... monoclinic
Size of the total moment ... 2.0 Bohr magnetons per cell

***

Which structure is most stable? x, by 4.9 kJ/mol of atoms over the runner-up.

***

w.
The following is a DFT calculation (PBE) of an optimized crystal structure of BaHO.

Cell and atoms, written as POSCAR:
```
BaHO
1.0
7.5569 0.0000 0.0000
0.0000 4.1845 0.0000
0.0000 0.0000 7.5648
Ba H O
4 4 4
Direct
0.1992 0.2500 0.1543
0.3008 0.7500 0.6543
0.6992 0.2500 0.3457
0.8008 0.7500 0.8457
0.0312 0.2500 0.7008
0.4688 0.7500 0.2008
0.5312 0.2500 0.7992
0.9688 0.7500 0.2992
0.0623 0.2500 0.8305
0.4377 0.7500 0.3305
0.5623 0.2500 0.6695
0.9377 0.7500 0.1695
```

Calculated values
Crystal system ... orthorhombic
Size of the total moment ... 0.0 Bohr magnetons per cell

***

x.
The following is a DFT calculation (PBE) of an optimized crystal structure of BaHO.

Cell and atoms, written as POSCAR:
```
BaHO
1.0
4.7540 0.0000 0.0000
0.0000 5.5078 0.0000
0.0000 0.0000 8.2782
Ba H O
4 4 4
Direct
0.2500 0.2500 0.0814
0.2500 0.7500 0.4149
0.7500 0.2500 0.5851
0.7500 0.7500 0.9186
0.2500 0.6819 0.7489
0.2500 0.8181 0.7489
0.7500 0.1819 0.2511
0.7500 0.3181 0.2511
0.2500 0.2500 0.4240
0.2500 0.7500 0.0875
0.7500 0.2500 0.9125
0.7500 0.7500 0.5760
```

Calculated values
Crystal system ... orthorhombic
Size of the total moment ... 0.0 Bohr magnetons per cell

***

Which structure is most stable? x, by 11.8 kJ/mol of atoms over the runner-up.

***

w.
The following is a DFT calculation (PBE) of an optimized crystal structure of Ba2H2O3.

Cell and atoms, written as POSCAR:
```
Ba2H2O3
1.0
7.2264 -1.9180 0.0000
7.2264 1.9180 0.0000
-0.7301 0.0000 5.4317
Ba H O
2 2 3
Direct
0.1212 0.1212 0.4413
0.8788 0.8788 0.5587
0.2721 0.2721 0.9434
0.7279 0.7279 0.0566
0.2759 0.2759 0.7671
0.5000 0.5000 0.5000
0.7241 0.7241 0.2329
```

Calculated values
Crystal system ... monoclinic
Size of the total moment ... 0.1 Bohr magnetons per cell

***

x.
The following is a DFT calculation (PBE) of an optimized crystal structure of Ba2H2O3.

Cell and atoms, written as POSCAR:
```
Ba2H2O3
1.0
6.7557 -1.8961 0.0000
6.7557 1.8961 0.0000
-0.5343 0.0000 4.3287
Ba H O
2 2 3
Direct
0.1335 0.1335 0.2160
0.8665 0.8665 0.7840
0.4039 0.4039 0.2296
0.5961 0.5961 0.7704
0.3343 0.3343 0.2946
0.5000 0.5000 0.0000
0.6657 0.6657 0.7054
```

Calculated values
Crystal system ... monoclinic
Size of the total moment ... 0.0 Bohr magnetons per cell

***

Which structure is most stable? x, by 9.6 kJ/mol of atoms over the runner-up.

***

w.
The following is a DFT calculation (PBE) of an optimized crystal structure of Ba2HO.

Cell and atoms, written as POSCAR:
```
Ba2HO
1.0
0.0000 3.4260 3.4260
3.4260 0.0000 3.4260
3.4260 3.4260 0.0000
Ba H O
2 1 1
Direct
0.2500 0.2500 0.2500
0.7500 0.7500 0.7500
0.0000 0.0000 0.0000
0.5000 0.5000 0.5000
```

Calculated values
Crystal system ... cubic
Size of the total moment ... 0.0 Bohr magnetons per cell

***

x.
The following is a DFT calculation (PBE) of an optimized crystal structure of Ba2HO.

Cell and atoms, written as POSCAR:
```
Ba2HO
1.0
1.9859 1.1466 6.7290
-1.9859 1.1466 6.7290
0.0000 -2.2931 6.7290
Ba H O
2 1 1
Direct
0.2426 0.2426 0.2426
0.7574 0.7574 0.7574
0.0000 0.0000 0.0000
0.5000 0.5000 0.5000
```

Calculated values
Crystal system ... trigonal
Size of the total moment ... 0.0 Bohr magnetons per cell

***

y.
The following is a DFT calculation (PBE) of an optimized crystal structure of Ba2HO.

Cell and atoms, written as POSCAR:
```
Ba2HO
1.0
-3.2483 3.2483 5.5348
3.2483 -3.2483 5.5348
3.2483 3.2483 -5.5348
Ba H O
4 2 2
Direct
0.0981 0.6250 0.9731
0.3750 0.3481 0.4731
0.6519 0.1250 0.0269
0.8750 0.9019 0.5269
0.2500 0.7500 0.5000
0.5000 0.5000 0.0000
0.0000 0.0000 0.0000
0.7500 0.2500 0.5000
```

Calculated values
Crystal system ... tetragonal
Size of the total moment ... 2.0 Bohr magnetons per cell

***

Which structure is most stable? x, by 3.2 kJ/mol of atoms over the runner-up.